1.
SrLaPt2 PBE-GGA optimized geometry; density of states at the Fermi level = 3.8 states/eV/f.u.; VASP energy = -4.3582 eV/atom; crystal system = orthorhombic; total magnetization = 0.00 Bohr magnetons per cell; ΔH_f (0 K) = 0.31 eV/atom
1.0
-1.597 2.818 5.517
1.597 -2.818 5.517
1.597 2.818 -5.517
Sr La Pt
1 1 2
Direct
0.000 0.000 0.000 Sr
0.500 0.500 0.000 La
0.261 0.261 0.000 Pt
0.739 0.739 0.000 Pt

2.
Sr8As2N3 PBE-GGA optimized geometry; density of states at the Fermi level = 2.2 states/eV/f.u.; VASP energy = -4.4120 eV/atom; crystal system = monoclinic; total magnetization = 0.67 Bohr magnetons per cell
1.0
7.582 -3.943 0.000
7.582 3.943 0.000
-2.205 0.000 6.477
Sr As N
8 2 3
Direct
0.095 0.095 0.402 Sr
0.125 0.668 0.104 Sr
0.332 0.875 0.896 Sr
0.395 0.395 0.551 Sr
0.605 0.605 0.449 Sr
0.668 0.125 0.104 Sr
0.875 0.332 0.896 Sr
0.905 0.905 0.598 Sr
0.263 0.263 0.821 As
0.737 0.737 0.179 As
0.000 0.000 0.000 N
0.256 0.744 0.500 N
0.744 0.256 0.500 N

3.
NbGa2ReSi PBE-GGA optimized geometry; density of states at the Fermi level = 3.7 states/eV/f.u.; VASP energy = -5.5434 eV/atom; crystal system = tetragonal; total magnetization = 1.77 Bohr magnetons per cell
1.0
4.507 0.000 0.000
0.000 4.507 0.000
0.000 0.000 4.736
Nb Ga Re Si
1 2 1 1
Direct
0.000 0.000 0.000 Nb
0.000 0.500 0.500 Ga
0.500 0.000 0.500 Ga
0.500 0.500 0.000 Re
0.000 0.000 0.500 Si

- Among the records above, which one has the highest density of states at the Fermi level?
  SrLaPt2

Please write out number 3 again, unchanged.
NbGa2ReSi PBE-GGA optimized geometry; density of states at the Fermi level = 3.7 states/eV/f.u.; VASP energy = -5.5434 eV/atom; crystal system = tetragonal; total magnetization = 1.77 Bohr magnetons per cell
1.0
4.507 0.000 0.000
0.000 4.507 0.000
0.000 0.000 4.736
Nb Ga Re Si
1 2 1 1
Direct
0.000 0.000 0.000 Nb
0.000 0.500 0.500 Ga
0.500 0.000 0.500 Ga
0.500 0.500 0.000 Re
0.000 0.000 0.500 Si

- The lowest VASP energy belongs to which entry?
  NbGa2ReSi

- Which value of density of states at the Fermi level does entry 3 give?
  3.7 states/eV/f.u.